A plane-wave DFT calculation with GGA-PBE was carried out for crystalline InGa2Se4 at its relaxed geometry.

As for the excess energy over the best structure of this formula in the dataset: 0 meV per atom. The calculation puts the formation energy without anion corrections at -0.48 eV per atom. Its total energy is -3.7318 eV per atom.

The space group is P-42m (No. 111) and the conventional cell measures 5.7136, 5.7136 and 6.1622 Å, with angles of 90.00, 90.00 and 90.00 degrees. Symmetry generates all atoms from In at (0.0000, 0.0000, 0.0000), Ga at (0.0000, 0.5000, 0.5000) and Se at (0.2708, 0.2708, 0.2599).



A plane-wave DFT calculation with GGA-PBE was carried out for crystalline InGaSe4 at its relaxed geometry.

The calculation puts the formation energy without anion corrections at -0.23 eV per atom. Its total energy is -3.5168 eV per atom.

The space group is C2/m (No. 12) and the conventional cell measures 12.2137, 3.9332 and 6.8764 Å, with angles of 90.00, 122.70 and 90.00 degrees. Symmetry generates all atoms from In at (0.0000, 0.0000, 0.0000), Ga at (0.0000, 0.5000, 0.5000), Se at (0.1410, 0.0000, 0.4798) and Se at (0.1446, 0.5000, 0.9589).



A plane-wave DFT calculation with GGA-PBE was carried out for crystalline InGa2Se2 at its relaxed geometry.

As for the excess energy over the best structure of this formula in the dataset: 61 meV per atom. The calculation puts the formation energy without anion corrections at -0.21 eV per atom. Its total energy is -3.3604 eV per atom.

The space group is P4/mbm (No. 127) and the conventional cell measures 8.2405, 8.2405 and 3.7975 Å, with angles of 90.00, 90.00 and 90.00 degrees. Symmetry generates all atoms from In at (0.0000, 0.0000, 0.0000), Ga at (0.1061, 0.3939, 0.0000) and Se at (0.2399, 0.2601, 0.5000).